Material: BaTcS2
Method: DFT, PBE
State: relaxed

Structure (CIF):
```
data_BaTcS2
_symmetry_space_group_name_H-M 'R -3 m'
_symmetry_Int_Tables_number 166
_symmetry_space_group_name_Hall '-R 3 2"'
_cell_length_a 4.8287
_cell_length_b 4.8287
_cell_length_c 23.1839
_cell_angle_alpha 90.00
_cell_angle_beta 90.00
_cell_angle_gamma 120.00
loop_
_atom_site_label
_atom_site_fract_x
_atom_site_fract_y
_atom_site_fract_z
Ba1 0.0000 0.0000 0.0000
Tc1 0.0000 0.0000 0.5000
S1 0.0000 0.0000 0.4001
```

Results
* DFT total energy: -65.8 eV per cell
* formation energy (no corrections): -343.7 meV/atom
* DOS at the Fermi energy: 4.31 states/eV/cell
* volume: 39.011 A^3/atom
* size of the total moment: 4.9 μB/f.u.


Material: BeTe5
Method: DFT, PBE
State: relaxed

Structure (CIF):
```
data_BeTe5
_symmetry_space_group_name_H-M 'F -4 3 m'
_symmetry_Int_Tables_number 216
_symmetry_space_group_name_Hall 'F -4 2 3'
_cell_length_a 8.911
_cell_length_b 8.911
_cell_length_c 8.911
_cell_angle_alpha 90.00
_cell_angle_beta 90.00
_cell_angle_gamma 90.00
loop_
_atom_site_label
_atom_site_fract_x
_atom_site_fract_y
_atom_site_fract_z
Be1 0.000 0.000 0.000
Te1 0.124 0.124 0.376
Te2 0.250 0.250 0.750
```

Results
* DFT total energy: -56.9 eV per cell
* formation energy (no corrections): 869.1 meV/atom
* DOS at the Fermi energy: 27.66 states/eV/cell
* volume: 29.479 A^3/atom
* size of the total moment: 0.0 μB/f.u.